Computed, not measured: a relaxed structure of CePmSi3 at the PBE level of DFT.

a b c (Å): 4.0168 4.2719 12.6138
angles (deg): 99.75 90.00 90.00
With the nearest neighbours (Å) after each atom.
Sites, in units of the cell vectors:
Ce: 0.2500 0.7967 0.5934  7 Si 2.99-3.04
Ce: 0.7500 0.2033 0.4066  7 Si 2.99-3.04
Pm: 0.2500 0.0688 0.1377  12 Si 3.13-3.39
Pm: 0.7500 0.9312 0.8623  12 Si 3.13-3.39
Si: 0.2500 0.3807 0.7615  3 Si 2.36-2.43
Si: 0.7500 0.6193 0.2385  3 Si 2.36-2.43
Si: 0.2500 0.4755 0.9511  3 Si 2.35-2.36
Si: 0.7500 0.5245 0.0489  3 Si 2.35-2.36
Si: 0.7500 0.3254 0.6508  2 Si 2.43
Si: 0.2500 0.6746 0.3492  2 Si 2.43

Properties
Its calculated total energy is -6.037 eV/atom. The total magnetization comes out at 0.150 μB per atom. Its space group is Cmcm (63).

Computed, not measured: a relaxed structure of TmAgGeAu at the PBE level of DFT.

a b c (Å): 4.8216 4.8216 4.8216
angles (deg): 60.00 60.00 60.00
With the nearest neighbours (Å) after each atom.
Sites, in units of the cell vectors:
Ge: 0.2500 0.2500 0.2500  4 Tm 2.95, 4 Ag 2.95
Tm: 0.0000 0.0000 0.0000  4 Au 2.95, 4 Ge 2.95
Au: 0.7500 0.7500 0.7500  4 Tm 2.95, 4 Ag 2.95
Ag: 0.5000 0.5000 0.5000  4 Ge 2.95, 4 Au 2.95

Properties
For the formation energy, the calculation gives -0.45 eV/atom. The total magnetization comes out at 0.000 μB per atom. Its space group is F-43m (216).

Computed, not measured: a relaxed structure of NiMo2Cl at the PBE level of DFT.

a b c (Å): 2.8568 2.8568 8.0670
angles (deg): 90.00 90.00 110.62
With the nearest neighbours (Å) after each atom.
Sites, in units of the cell vectors:
Cl: 0.5000 0.5000 0.7424  2 Ni 2.60, 2 Mo 2.68, 4 Cl 2.86
Mo: 0.0000 0.0000 0.0061  6 Mo 2.62-2.86, 2 Cl 2.68
Mo: 0.5000 0.5000 0.2605  2 Ni 2.47, 2 Mo 2.62
Ni: 0.0000 0.0000 0.4910  2 Mo 2.47, 2 Cl 2.60

Properties
Its calculated total energy is -7.032 eV/atom. The total magnetization comes out at 0.000 μB per atom. Its space group is Cmm2 (35).

Computed, not measured: a relaxed structure of SmErCu4 at the PBE level of DFT.

a b c (Å): 4.3005 5.4781 5.4781
angles (deg): 77.84 66.89 66.89
With the nearest neighbours (Å) after each atom.
Sites, in units of the cell vectors:
Sm: 0.5451 0.4549 0.4549  12 Cu 2.97-3.13
Er: 0.4591 0.0409 0.0409  12 Cu 2.95-3.12
Cu: 0.1636 0.6406 0.0322  4 Cu 2.49-2.70
Cu: 0.8343 0.8658 0.4656  4 Cu 2.49-2.75
Cu: 0.8343 0.4656 0.8658  4 Cu 2.49-2.75
Cu: 0.1636 0.0322 0.6406  4 Cu 2.49-2.70

Properties
For the formation energy, the calculation gives -0.26 eV/atom. The total magnetization comes out at 0.000 μB per atom. Its space group is Imm2 (44).

Computed, not measured: a relaxed structure of SrGaAg2 at the PBE level of DFT.

a b c (Å): 5.9446 5.7452 7.0824
angles (deg): 101.27 102.50 120.06
With the nearest neighbours (Å) after each atom.
Sites, in units of the cell vectors:
Sr: 0.1236 0.3736 0.2471  4 Ga 3.26-3.39, 8 Ag 3.30-3.52
Sr: 0.8764 0.6264 0.7529  4 Ga 3.26-3.39, 8 Ag 3.30-3.52
Ga: 0.7567 0.0067 0.5133  4 Ag 2.69-2.71, 2 Ga 2.98
Ga: 0.2433 0.9933 0.4867  4 Ag 2.69-2.71, 2 Ga 2.98
Ag: 0.4580 0.0480 0.1884  2 Ga 2.69-2.71, 2 Ag 2.82-2.95
Ag: 0.7305 0.6404 0.1884  2 Ga 2.69-2.71, 2 Ag 2.82-2.95
Ag: 0.5420 0.9520 0.8116  2 Ga 2.69-2.71, 2 Ag 2.82-2.95
Ag: 0.2695 0.3596 0.8116  2 Ga 2.69-2.71, 2 Ag 2.82-2.95

Properties
For the formation energy, the calculation gives -0.24 eV/atom. The total magnetization comes out at 0.000 μB per atom. Its space group is C2/c (15).

Computed, not measured: a relaxed structure of PuTl2Cu2I6 at the PBE level of DFT.

a b c (Å): 8.6701 7.3327 9.5913
angles (deg): 105.71 90.00 126.24
With the nearest neighbours (Å) after each atom.
Sites, in units of the cell vectors:
Pu: 0.5000 0.0000 0.5000  6 I 3.16-3.29
Tl: 0.6864 0.3727 0.1398  3 I 3.32-3.57, 1 Cu 3.69
Tl: 0.3136 0.6273 0.8602  3 I 3.32-3.57, 1 Cu 3.69
Cu: 0.9835 0.9670 0.6927  3 I 2.53-2.57
Cu: 0.0165 0.0330 0.3073  3 I 2.53-2.57
I: 0.7687 0.5374 0.5064  1 Cu 2.57
I: 0.1947 0.8622 0.2159  1 Cu 2.53
I: 0.3325 0.1378 0.7841  1 Cu 2.53
I: 0.8053 0.1378 0.7841  1 Cu 2.53
I: 0.6675 0.8622 0.2159  1 Cu 2.53
I: 0.2313 0.4626 0.4936  1 Cu 2.57

Properties
Its calculated total energy is -3.829 eV/atom. The total magnetization comes out at 0.543 μB per atom. Its space group is C2/m (12).

- Which value of total magnetization does entry 3 give?
  0.000 μB per atom